No. 1
TcSbBr2 | PBE | relaxed

Cell and atoms, written as extended XYZ:
```
4
Lattice="4.701 0.000 0.000 0.000 4.701 0.000 0.000 0.000 4.518" Properties=species:S:1:pos:R:3 pbc="T T T"
Tc 0.000 0.000 0.000
Sb 2.350 2.350 0.000
Br 0.000 2.350 2.259
Br 2.350 0.000 2.259
```

Properties
ΔE_f (raw) = 83.9 kJ/mol of atoms
ρ = 6.31 g/cm3

No. 2
ZrZn2Mo2 | PBE | relaxed

Cell and atoms, written as extended XYZ:
```
5
Lattice="-2.004 2.004 5.714 2.004 -2.004 5.714 2.004 2.004 -5.714" Properties=species:S:1:pos:R:3 pbc="T T T"
Zr 0.000 0.000 0.000
Zn 2.004 0.000 2.857
Zn 0.000 2.004 2.857
Mo 0.000 0.000 4.611
Mo 0.000 0.000 6.817
```

Properties
formation energy from the elements = 315 meV per atom
ρ = 7.49 g/cm3

No. 3
Na2TlAgF6 | PBE | relaxed

Cell and atoms, written as extended XYZ:
```
10
Lattice="0.000 4.524 4.524 4.524 0.000 4.524 4.524 4.524 0.000" Properties=species:S:1:pos:R:3 pbc="T T T"
Na 2.262 2.262 2.262
Na 6.786 6.786 6.786
Tl 0.000 0.000 0.000
Ag 4.524 4.524 4.524
F 4.524 4.524 2.197
F 4.524 2.197 4.524
F 6.851 4.524 4.524
F 2.197 4.524 4.524
F 4.524 6.851 4.524
F 4.524 4.524 6.851
```

Properties
ΔE_f (raw) = -181.5 kJ/mol of atoms
ρ = 4.23 g/cm3

No. 4
La3RuPt | PBE | relaxed

Cell and atoms, written as extended XYZ:
```
5
Lattice="5.372 0.000 0.000 0.000 5.372 0.000 0.000 0.000 5.372" Properties=species:S:1:pos:R:3 pbc="T T T"
La 0.000 0.000 2.686
La 0.000 2.686 0.000
La 2.686 0.000 0.000
Ru 0.000 0.000 0.000
Pt 2.686 2.686 2.686
```

Properties
formation energy from the elements = -205 meV per atom
ρ = 7.64 g/cm3

No. 5
Hf3Fe2Ru | PBE | relaxed

Cell and atoms, written as extended XYZ:
```
6
Lattice="3.175 0.000 0.000 0.000 3.175 0.000 0.000 0.000 9.529" Properties=species:S:1:pos:R:3 pbc="T T T"
Hf 0.000 0.000 0.000
Hf 0.000 0.000 3.114
Hf 0.000 0.000 6.415
Fe 1.588 1.588 1.565
Fe 1.588 1.588 7.964
Ru 1.588 1.588 4.764
```

Properties
formation energy from the elements = -481 meV per atom
ρ = 12.93 g/cm3

Please write out number 1 again, unchanged.
TcSbBr2 | PBE | relaxed

Cell and atoms, written as extended XYZ:
```
4
Lattice="4.701 0.000 0.000 0.000 4.701 0.000 0.000 0.000 4.518" Properties=species:S:1:pos:R:3 pbc="T T T"
Tc 0.000 0.000 0.000
Sb 2.350 2.350 0.000
Br 0.000 2.350 2.259
Br 2.350 0.000 2.259
```

Properties
ΔE_f (raw) = 83.9 kJ/mol of atoms
ρ = 6.31 g/cm3

What did the second record say?
ZrZn2Mo2 | PBE | relaxed

Cell and atoms, written as extended XYZ:
```
5
Lattice="-2.004 2.004 5.714 2.004 -2.004 5.714 2.004 2.004 -5.714" Properties=species:S:1:pos:R:3 pbc="T T T"
Zr 0.000 0.000 0.000
Zn 2.004 0.000 2.857
Zn 0.000 2.004 2.857
Mo 0.000 0.000 4.611
Mo 0.000 0.000 6.817
```

Properties
formation energy from the elements = 315 meV per atom
ρ = 7.49 g/cm3

> Number 1 is which compound?

TcSbBr2

> Which value of ρ does entry 3 give?

4.23 g/cm3